# TeMoO

TeMoO after structural relaxation (GGA+U, Alexandria via LeMat-Bulk).

Lattice parameters (Å, degrees): 3.250 3.180 12.370 90.40 97.55 90.00
Site moments in Bohr magnetons follow the coordinates.
Fractional coordinates of all 6 atoms:
1 Te 0.768 0.948 0.537  -0.06
2 Te 0.008 0.963 0.016  -0.12
3 O 0.130 0.470 0.261  -0.11
4 O 0.388 0.455 0.775  0.10
5 Mo 0.884 0.955 0.767  2.73
6 Mo 0.588 0.467 0.176  1.92

Calculated total energy, eV/atom: -5.464
Density, Mg/m³: 6.3
DOS(E_F), states/eV per atom: 0.33


# NaCoP2HO7

NaCoP2HO7 after structural relaxation (GGA+U, Alexandria via LeMat-Bulk).

Lattice parameters (Å, degrees): 6.594 6.606 6.738 84.43 67.02 87.82
Site moments in Bohr magnetons follow the coordinates.
Fractional coordinates of all 24 atoms:
1 Na 0.313 0.664 0.237  0.00
2 Na 0.680 0.332 0.765  0.00
3 Co 0.278 0.146 0.616  2.77
4 Co 0.715 0.850 0.385  2.77
5 P 0.158 0.121 0.138  0.01
6 P 0.835 0.876 0.864  0.01
7 P 0.260 0.641 0.717  0.01
8 P 0.733 0.355 0.284  0.01
9 H 0.423 0.286 0.203  0.00
10 H 0.570 0.710 0.798  0.00
11 O 0.269 0.204 0.284  0.02
12 O 0.725 0.793 0.717  0.02
13 O 0.383 0.595 0.869  0.00
14 O 0.611 0.401 0.132  0.00
15 O 0.363 0.827 0.552  0.05
16 O 0.630 0.169 0.449  0.05
17 O 0.326 0.119 0.908  0.03
18 O 0.667 0.878 0.094  0.03
19 O 0.234 0.463 0.603  0.03
20 O 0.759 0.534 0.399  0.03
21 O 0.015 0.708 0.873  0.00
22 O 0.978 0.288 0.129  0.00
23 O 0.045 0.921 0.250  0.03
24 O 0.949 0.075 0.752  0.03

Calculated total energy, eV/atom: -6.529
Density, Mg/m³: 3.2
DOS(E_F), states/eV per atom: 0.00